(1)
First-principles (PBE) data for a relaxed structure of RbBaSi, as listed in Alexandria.

Results
Uncorrected energy, eV per atom: -2.7711
Energy relative to the elements, uncorrected, eV per formula unit: 0.00

```
data_RbBaSi
_cell_length_a 8.0200
_cell_length_b 8.0200
_cell_length_c 14.6136
_cell_angle_alpha 90.00
_cell_angle_beta 90.00
_cell_angle_gamma 120.00
_symmetry_space_group_name_H-M 'P 62 2 2'
_symmetry_Int_Tables_number 180
_symmetry_space_group_name_Hall 'P 62 2 (0 0 4)'
loop_
_atom_site_label
_atom_site_type_symbol
_atom_site_fract_x
_atom_site_fract_y
_atom_site_fract_z
Rb1 Rb 0.0000 0.0000 0.0000
Rb2 Rb 0.0000 0.5000 0.1667
Ba1 Ba 0.0000 0.5000 0.4537
Si1 Si 0.1701 0.5850 0.6667
```



(2)
First-principles (PBE) data for a relaxed structure of MgGePd5, as listed in Alexandria.

Results
Uncorrected energy, eV per atom: -4.9965
DFT formation energy, meV per atom: -400

```
data_MgGePd5
_cell_length_a 7.022
_cell_length_b 7.324
_cell_length_c 9.305
_cell_angle_alpha 90.00
_cell_angle_beta 110.63
_cell_angle_gamma 90.00
_symmetry_space_group_name_H-M 'C 1 2/c 1'
_symmetry_Int_Tables_number 15
loop_
_symmetry_equiv_pos_as_xyz
'x,y,z'
'-x,-y,-z'
'-x,y,-z+1/2'
'x,-y,z+1/2'
'x+1/2,y+1/2,z'
'-x+1/2,-y+1/2,-z'
'-x+1/2,y+1/2,-z+1/2'
'x+1/2,-y+1/2,z+1/2'
loop_
_atom_site_label
_atom_site_type_symbol
_atom_site_fract_x
_atom_site_fract_y
_atom_site_fract_z
Mg1 Mg 0.000 0.012 0.250
Ge1 Ge 0.000 0.500 0.000
Pd1 Pd 0.000 0.367 0.250
Pd2 Pd 0.106 0.170 0.543
Pd3 Pd 0.207 0.310 0.851
```



Across the entries above, energy above the lowest structure with this stoichiometry takes the values 226, 0 meV per atom, respectively.
Across the entries above, magnetization takes the values 0.00, 0.00 μB per formula unit, respectively.